[1]
## AcLa6Tb5 (PBE)

Data for a geometry-optimized AcLa6Tb5 structure.

Cell: 5.2577 8.2849 10.2891 Å, 90.00 90.00 71.57°
Sites, in units of the cell vectors:
La  0.5000  0.0000  0.7428
La  0.1676  0.6646  0.2538
La  0.1676  0.6646  0.7462
La  0.8324  0.3354  0.2538
La  0.5000  0.0000  0.2572
La  0.8324  0.3354  0.7462
Ac  0.0000  0.0000  0.0000
Tb  0.0000  0.0000  0.5000
Tb  0.6665  0.6668  0.5000
Tb  0.3335  0.3332  0.5000
Tb  0.3298  0.3402  0.0000
Tb  0.6702  0.6598  0.0000

Properties
The formation enthalpy at 0 K is 0.0266 eV per atom.



[2]
## ScCrAs4 (PBE)

Data for a geometry-optimized ScCrAs4 structure.

Cell: 5.5321 5.5321 5.5321 Å, 60.00 60.00 60.00°
Site moments in Bohr magnetons follow the coordinates.
Sites, in units of the cell vectors:
Cr  0.7500  0.7500  0.7500  3.93
As  0.3756  0.3756  0.3756  -0.03
As  0.3756  0.8731  0.3756  -0.03
As  0.8731  0.3756  0.3756  -0.03
As  0.3756  0.3756  0.8731  -0.03
Sc  0.0000  0.0000  0.0000  0.03

Properties
The formation enthalpy at 0 K is 0.2446 eV per atom.